1.
VASP calculation (PBE-GGA) on a relaxed structure of SrErLu2.

Cell: 3.6234 3.6234 10.4406 Å, 90.00 90.00 90.00°
With the nearest neighbours (Å) after each atom.
Atoms (fractional coordinates):
Sr (0.0000, 0.0000, 0.0000)  4 Sr 3.62, 8 Lu 3.91
Er (0.0000, 0.0000, 0.5000)  8 Lu 3.42, 4 Er 3.62
Lu (0.5000, 0.5000, 0.2826)  4 Er 3.42, 4 Lu 3.62
Lu (0.5000, 0.5000, 0.7174)  4 Er 3.42, 4 Lu 3.62

Properties
The calculation puts the density of states at the Fermi level at 5.38 states/eV/cell. For the total energy, the calculation gives -3.67 eV per atom. The energy relative to the elements is 0.15 eV per atom.

***

2.
VASP calculation (PBE-GGA) on a relaxed structure of Tl5HgPd4.

Cell: 7.5234 7.5234 6.7353 Å, 90.17 90.17 36.49°
With the nearest neighbours (Å) after each atom.
Atoms (fractional coordinates):
Tl (0.0000, 0.0000, 0.0000)  6 Pd 2.86-2.90
Tl (0.3284, 0.3284, 0.9894)  5 Pd 2.88-3.06, 1 Tl 3.21
Tl (0.3307, 0.3307, 0.5135)  5 Pd 2.89-3.01, 1 Tl 3.21
Tl (0.6693, 0.6693, 0.4865)  5 Pd 2.89-3.01, 1 Tl 3.21
Tl (0.6716, 0.6716, 0.0106)  5 Pd 2.88-3.06, 1 Tl 3.21
Hg (0.0000, 0.0000, 0.5000)  6 Pd 2.84-2.89
Pd (0.1613, 0.1613, 0.7486)  1 Hg 2.84, 7 Tl 2.86-2.95
Pd (0.4899, 0.4899, 0.2510)  6 Tl 2.89-3.06, 2 Hg 2.89, 2 Pd 3.20
Pd (0.5101, 0.5101, 0.7490)  6 Tl 2.89-3.06, 2 Hg 2.89, 2 Pd 3.20
Pd (0.8387, 0.8387, 0.2514)  1 Hg 2.84, 7 Tl 2.86-2.95

Properties
The calculation puts the density of states at the Fermi level at 4.03 states/eV/cell. For the total energy, the calculation gives -3.41 eV per atom. The energy relative to the elements is -0.12 eV per atom.

***

3.
VASP calculation (PBE-GGA) on a relaxed structure of ReSi3Mo.

Cell: 4.6593 4.6593 4.6593 Å, 90.00 90.00 90.00°
With the nearest neighbours (Å) after each atom.
Atoms (fractional coordinates):
Re (0.0000, 0.0000, 0.0000)  6 Si 2.33
Si (0.0000, 0.0000, 0.5000)  2 Re 2.33
Si (0.0000, 0.5000, 0.0000)  2 Re 2.33
Si (0.5000, 0.0000, 0.0000)  2 Re 2.33
Mo (0.5000, 0.5000, 0.5000)  12 Si 3.29

Properties
The calculation puts the density of states at the Fermi level at 2.78 states/eV/cell. The formation energy (no corrections) is 1088 meV/atom. For the total energy, the calculation gives -6.82 eV per atom. As for the energy relative to the lowest polymorph listed for this composition: 0 kJ/mol of formula units.

***

4.
VASP calculation (PBE-GGA) on a relaxed structure of HIF2.

Cell: 5.1056 5.1056 5.1056 Å, 120.17 120.17 89.71°
With the nearest neighbours (Å) after each atom.
Atoms (fractional coordinates):
H (0.3750, 0.6250, 0.7500)  4 F 1.56
H (0.6250, 0.3750, 0.2500)  4 F 1.56
I (0.1250, 0.8750, 0.2500)  12 F 2.99-3.00, 4 I 3.12, 4 H 3.12
I (0.8750, 0.1250, 0.7500)  12 F 2.99-3.00, 4 H 3.12, 4 I 3.12
F (0.0000, 0.5000, 0.5000)  2 H 1.56
F (0.5000, 0.0000, 0.0000)  2 H 1.56
F (0.5000, 0.5000, 0.0000)  2 H 1.56
F (0.5000, 0.5000, 0.5000)  2 H 1.56

Properties
The calculation puts the density of states at the Fermi level at 4.47 states/eV/cell. For the total energy, the calculation gives -2.70 eV per atom. As for the energy relative to the lowest polymorph listed for this composition: 242 kJ/mol of formula units.

***

5.
VASP calculation (PBE-GGA) on a relaxed structure of MgZr2Re.

Cell: 10.6414 10.6414 10.6414 Å, 15.89 15.89 15.89°
With the nearest neighbours (Å) after each atom.
Atoms (fractional coordinates):
Mg (0.0000, 0.0000, 0.0000)  3 Re 2.88, 6 Mg 2.94
Zr (0.2456, 0.2456, 0.2456)  6 Zr 2.94, 3 Mg 3.24
Zr (0.4872, 0.4872, 0.4872)  6 Zr 2.94, 3 Re 3.04
Re (0.7405, 0.7405, 0.7405)  3 Mg 2.88, 6 Re 2.94, 3 Zr 3.04

Properties
The calculation puts the density of states at the Fermi level at 5.27 states/eV/cell. For the total energy, the calculation gives -7.49 eV per atom. The energy relative to the elements is 0.29 eV per atom.

***

6.
VASP calculation (PBE-GGA) on a relaxed structure of BPIO2.

Cell: 3.7427 3.7427 4.1392 Å, 90.00 90.00 90.00°
With the nearest neighbours (Å) after each atom.
Atoms (fractional coordinates):
B (0.0000, 0.0000, 0.0000)  4 O 1.87, 2 P 2.07
P (0.0000, 0.0000, 0.5000)  2 B 2.07
I (0.5000, 0.5000, 0.5000)  4 P 2.65, 8 O 2.79
O (0.0000, 0.5000, 0.0000)  2 B 1.87
O (0.5000, 0.0000, 0.0000)  2 B 1.87

Properties
The calculation puts the density of states at the Fermi level at 2.43 states/eV/cell. The formation energy (no corrections) is 494 meV/atom. For the total energy, the calculation gives -4.22 eV per atom. As for the energy relative to the lowest polymorph listed for this composition: 114 kJ/mol of formula units.